# 1
{"formula": "LiTcRh4", "functional": "PBE-GGA", "state": "relaxed", "lattice": [[0.0000, 3.5804, 3.5804], [3.5804, 0.0000, 3.5804], [3.5804, 3.5804, 0.0000]], "species": ["Li", "Tc", "Rh", "Rh", "Rh", "Rh"], "fractional_positions": [[0.0000, 0.0000, 0.0000], [0.2500, 0.2500, 0.2500], [0.1242, 0.6253, 0.6253], [0.6253, 0.1242, 0.6253], [0.6253, 0.6253, 0.1242], [0.6253, 0.6253, 0.6253]], "n_ef_per_ev_fu": 7.4, "space_group": "No. 216", "formation_enthalpy_0k_mev_per_atom": 289, "crystal_system": "cubic", "total_energy_ev_per_cell": -40.0}

***

# 2
{"formula": "LiTcRh2", "functional": "PBE-GGA", "state": "relaxed", "lattice": [[2.8192, 0.0000, 0.0000], [0.0000, 2.8192, 0.0000], [0.0000, 0.0000, 6.7389]], "species": ["Li", "Tc", "Rh", "Rh"], "fractional_positions": [[0.0000, 0.0000, 0.0000], [0.0000, 0.0000, 0.5000], [0.5000, 0.5000, 0.2387], [0.5000, 0.5000, 0.7613]], "n_ef_per_ev_fu": 3.8, "space_group": "No. 123", "formation_enthalpy_0k_mev_per_atom": -113, "crystal_system": "tetragonal", "total_energy_ev_per_cell": -27.4}

***

# 3
{"formula": "Li2TcRh", "functional": "PBE-GGA", "state": "relaxed", "lattice": [[4.3109, -1.3324, 0.0000], [4.3109, 1.3324, 0.0000], [-0.5455, 0.0000, 4.9354]], "species": ["Li", "Li", "Tc", "Rh"], "fractional_positions": [[0.0000, 0.0000, 0.0000], [0.2436, 0.2436, 0.7978], [0.7543, 0.7543, 0.3171], [0.5028, 0.5028, 0.4916]], "n_ef_per_ev_fu": 2.8, "space_group": "No. 8", "formation_enthalpy_0k_mev_per_atom": 52, "crystal_system": "monoclinic", "total_energy_ev_per_cell": -21.3}